No. 1
A plane-wave DFT calculation with GGA-PBE was carried out for a relaxed SrAgS2 crystal.

It has space group Fm-3m (No. 225), with a = 7.0148 Å, b = 7.0148 Å, c = 7.0148 Å, α = 90.00°, β = 90.00° and γ = 90.00°. The asymmetric unit holds Sr at (0.0000, 0.0000, 0.0000), Ag at (0.0000, 0.0000, 0.5000) and S at (0.2500, 0.2500, 0.2500).

The calculation puts the size of the total moment at 0.000 Bohr magnetons per cell. The calculation puts the electronic total energy at -3.9240 eV per atom.

No. 2
A plane-wave DFT calculation with GGA-PBE was carried out for a relaxed SrAg3S3 crystal.

It has space group R-3 (No. 148, hexagonal axes), with a = 7.3284 Å, b = 7.3284 Å, c = 21.3835 Å, α = 90.00°, β = 90.00° and γ = 120.00°. The asymmetric unit holds Sr at (0.0000, 0.0000, 0.1664), Ag at (0.0017, 0.6807, 0.6198) and S at (0.0013, 0.6571, 0.4152).

The calculation puts the size of the total moment at 0.000 Bohr magnetons per cell. The calculation puts the electronic total energy at -3.7855 eV per atom. For the energy above the lowest structure with this stoichiometry, the calculation gives 0.0 meV/atom.

No. 3
A plane-wave DFT calculation with GGA-PBE was carried out for a relaxed Sr3AgS crystal.

It has space group Pm-3m (No. 221), with a = 5.7501 Å, b = 5.7501 Å, c = 5.7501 Å, α = 90.00°, β = 90.00° and γ = 90.00°. The asymmetric unit holds Sr at (0.0000, 0.0000, 0.5000), Ag at (0.5000, 0.5000, 0.5000) and S at (0.0000, 0.0000, 0.0000).

The calculation puts the size of the total moment at 0.000 Bohr magnetons per cell. The calculation puts the electronic total energy at -3.1183 eV per atom. For the energy above the lowest structure with this stoichiometry, the calculation gives 0.0 meV/atom.

No. 4
A plane-wave DFT calculation with GGA-PBE was carried out for a relaxed SrAg3S3 crystal.

It has space group Pm-3n (No. 223), with a = 7.0502 Å, b = 7.0502 Å, c = 7.0502 Å, α = 90.00°, β = 90.00° and γ = 90.00°. The asymmetric unit holds Sr at (0.0000, 0.0000, 0.0000), Ag at (0.0000, 0.2500, 0.5000) and S at (0.0000, 0.5000, 0.2500).

The calculation puts the size of the total moment at 0.000 Bohr magnetons per cell. The calculation puts the electronic total energy at -3.5869 eV per atom. For the energy above the lowest structure with this stoichiometry, the calculation gives 198.6 meV/atom.

No. 5
A plane-wave DFT calculation with GGA-PBE was carried out for a relaxed SrAgS2 crystal.

It has space group R-3m (No. 166, hexagonal axes), with a = 4.5639 Å, b = 4.5639 Å, c = 22.3426 Å, α = 90.00°, β = 90.00° and γ = 120.00°. The asymmetric unit holds Sr at (0.0000, 0.0000, 0.0000), Ag at (0.0000, 0.0000, 0.5000) and S at (0.0000, 0.0000, 0.3966).

The calculation puts the size of the total moment at 2.742 Bohr magnetons per cell. The calculation puts the electronic total energy at -3.9577 eV per atom.

No. 6
A plane-wave DFT calculation with GGA-PBE was carried out for a relaxed Sr2AgS2 crystal.

It has space group P4/mbm (No. 127), with a = 8.0834 Å, b = 8.0834 Å, c = 3.8621 Å, α = 90.00°, β = 90.00° and γ = 90.00°. The asymmetric unit holds Sr at (0.1556, 0.3444, 0.0000), Ag at (0.0000, 0.0000, 0.5000) and S at (0.1532, 0.6532, 0.5000).

The calculation puts the size of the total moment at 0.000 Bohr magnetons per cell. The calculation puts the electronic total energy at -4.2100 eV per atom.

No. 7
A plane-wave DFT calculation with GGA-PBE was carried out for a relaxed SrAgS2 crystal.

It has space group I-42d (No. 122), with a = 5.7109 Å, b = 5.7109 Å, c = 14.1609 Å, α = 90.00°, β = 90.00° and γ = 90.00°. The asymmetric unit holds Sr at (0.0000, 0.0000, 0.0000), Ag at (0.0000, 0.0000, 0.5000) and S at (0.1871, 0.2500, 0.6250).

The calculation puts the size of the total moment at 0.000 Bohr magnetons per cell. The calculation puts the electronic total energy at -3.9709 eV per atom.

No. 8
A plane-wave DFT calculation with GGA-PBE was carried out for a relaxed SrAg3S crystal.

It has space group Pm-3m (No. 221), with a = 5.0465 Å, b = 5.0465 Å, c = 5.0465 Å, α = 90.00°, β = 90.00° and γ = 90.00°. The asymmetric unit holds Sr at (0.0000, 0.0000, 0.0000), Ag at (0.0000, 0.5000, 0.5000) and S at (0.5000, 0.5000, 0.5000).

The calculation puts the size of the total moment at 0.000 Bohr magnetons per cell. The calculation puts the electronic total energy at -2.8089 eV per atom. For the energy above the lowest structure with this stoichiometry, the calculation gives 0.0 meV/atom.

No. 9
A plane-wave DFT calculation with GGA-PBE was carried out for a relaxed Sr3Tb3AgS8 crystal.

It has space group R-3m (No. 166, hexagonal axes), with a = 8.0856 Å, b = 8.0856 Å, c = 20.3518 Å, α = 90.00°, β = 90.00° and γ = 120.00°. The asymmetric unit holds Sr at (0.0000, 0.5000, 0.0000), Tb at (0.0000, 0.5000, 0.5000), Ag at (0.0000, 0.0000, 0.5000), S at (0.0000, 0.0000, 0.2434) and S at (0.0116, 0.5058, 0.7575).

The calculation puts the size of the total moment at 0.000 Bohr magnetons per cell. The calculation puts the electronic total energy at -5.4702 eV per atom.

No. 10
A plane-wave DFT calculation with GGA-PBE was carried out for a relaxed Sr2TbAg2S4 crystal.

It has space group C2/m (No. 12), with a = 15.5534 Å, b = 3.9331 Å, c = 7.6565 Å, α = 90.00°, β = 116.51° and γ = 90.00°. The asymmetric unit holds Sr at (0.1378, 0.0000, 0.0757), Tb at (0.0000, 0.0000, 0.5000), Ag at (0.1840, 0.5000, 0.5064), S at (0.0096, 0.5000, 0.2417) and S at (0.1950, 0.0000, 0.7537).

The calculation puts the size of the total moment at 0.000 Bohr magnetons per cell. The calculation puts the electronic total energy at -4.6950 eV per atom.